Model i:
KLiSn2: optimized geometry, PBE-GGA.

a b c (Å): 6.2053 4.8176 8.4602
angles (deg): 90.00 109.58 90.00
Last column: nearest neighbours and their distance in Å.
Space group P2_1/m (No. 11)
Unique sites:
K: 0.2173 0.2500 0.4272 (multiplicity 2)  6 Sn 3.52-3.73, 2 Li 3.94
Li: 0.1893 0.2500 0.9121 (multiplicity 2)  7 Sn 2.94-3.29
Sn: 0.2984 0.7500 0.1231 (multiplicity 2)  4 Li 2.94-3.29, 3 Sn 3.06-3.08
Sn: 0.3800 0.7500 0.7838 (multiplicity 2)  3 Li 3.03-3.04, 3 Sn 3.06-3.08

Summary:
- total magnetization (μB per atom) = 0.0000
- N(E_F) (states/eV/cell) = 1.7

***

Model ii:
KLiSn2: optimized geometry, PBE-GGA.

a b c (Å): 5.5585 5.5585 19.8608
angles (deg): 90.00 90.00 90.00
Last column: nearest neighbours and their distance in Å.
Space group I-42d (No. 122)
Unique sites:
K: 0.0000 0.0000 0.0000 (multiplicity 4)  8 Sn 3.80-4.17, 4 Li 3.93
Li: 0.0000 0.0000 0.5000 (multiplicity 4)  4 Sn 2.86
Sn: 0.0478 0.2500 0.6250 (multiplicity 8)  2 Sn 2.83, 2 Li 2.86

Summary:
- total magnetization (μB per atom) = 0.0000
- N(E_F) (states/eV/cell) = 8.1

***

Short version: model i is the most stable of them.

***

Model i:
KLi2Sn2: optimized geometry, PBE-GGA.

a b c (Å): 5.2394 5.2394 10.2532
angles (deg): 90.00 90.00 90.00
Last column: nearest neighbours and their distance in Å.
Space group I4/mmm (No. 139)
Unique sites:
K: 0.0000 0.0000 0.0000 (multiplicity 2)  8 Li 3.67, 10 Sn 3.75-3.95
Li: 0.0000 0.5000 0.2500 (multiplicity 4)  4 Sn 2.87
Sn: 0.0000 0.0000 0.3654 (multiplicity 4)  1 Sn 2.76, 4 Li 2.87

Summary:
- total magnetization (μB per atom) = 0.0000
- N(E_F) (states/eV/cell) = 4.3

***

Model ii:
KLi2Sn2: optimized geometry, PBE-GGA.

a b c (Å): 8.8232 8.8232 3.1991
angles (deg): 90.00 90.00 90.00
Last column: nearest neighbours and their distance in Å.
Space group P4/mbm (No. 127)
Unique sites:
K: 0.0000 0.0000 0.0000 (multiplicity 2)  2 K 3.20, 4 Li 3.31
Li: 0.1603 0.3397 0.0000 (multiplicity 4)  6 Sn 3.00-3.12, 2 Li 3.20, 2 K 3.31
Sn: 0.1250 0.6250 0.5000 (multiplicity 4)  6 Li 3.00-3.12, 3 Sn 3.12-3.20

Summary:
- total magnetization (μB per atom) = 0.0000
- N(E_F) (states/eV/cell) = 4.2

***

Short version: model ii is the most stable of them.

***

Model i:
KLiSn3: optimized geometry, PBE-GGA.

a b c (Å): 5.9324 5.9324 5.9324
angles (deg): 90.00 90.00 90.00
Last column: nearest neighbours and their distance in Å.
Space group Pm-3m (No. 221)
Unique sites:
K: 0.0000 0.0000 0.0000 (multiplicity 1)  6 Sn 2.97
Li: 0.5000 0.5000 0.5000 (multiplicity 1)  12 Sn 4.19
Sn: 0.0000 0.0000 0.5000 (multiplicity 3)  2 K 2.97

Summary:
- total magnetization (μB per atom) = 0.0000
- N(E_F) (states/eV/cell) = 3.3

***

Model ii:
KLiSn3: optimized geometry, PBE-GGA.

a b c (Å): 5.2365 5.2365 5.2365
angles (deg): 90.00 90.00 90.00
Last column: nearest neighbours and their distance in Å.
Space group Pm-3m (No. 221)
Unique sites:
K: 0.0000 0.0000 0.0000 (multiplicity 1)  12 Sn 3.70
Li: 0.5000 0.5000 0.5000 (multiplicity 1)  6 Sn 2.62
Sn: 0.0000 0.5000 0.5000 (multiplicity 3)  2 Li 2.62

Summary:
- total magnetization (μB per atom) = 0.0000
- N(E_F) (states/eV/cell) = 2.9

***

Short version: model ii is the most stable of them.

***

Model i:
KLiSn3: optimized geometry, PBE-GGA.

a b c (Å): 12.8612 6.9452 6.9447
angles (deg): 90.00 90.00 90.00
Last column: nearest neighbours and their distance in Å.
Space group Pnna (No. 52)
Unique sites:
K: 0.2500 0.0000 0.0007 (multiplicity 4)  12 Sn 3.77-4.05, 4 Li 4.04-4.05
Li: 0.0003 0.2500 0.2500 (multiplicity 4)  4 Sn 3.01-3.02
Sn: 0.9998 0.2500 0.7500 (multiplicity 4)  4 Sn 3.02
Sn: 0.1362 0.9997 0.5007 (multiplicity 8)  3 Sn 2.93-3.02, 2 Li 3.01-3.02

Summary:
- total magnetization (μB per atom) = 0.0000
- N(E_F) (states/eV/cell) = 10.9

***

Model ii:
KLiSn3: optimized geometry, PBE-GGA.

a b c (Å): 6.9180 13.7252 6.1523
angles (deg): 90.00 90.00 90.00
Last column: nearest neighbours and their distance in Å.
Space group Cmcm (No. 63)
Unique sites:
K: 0.0000 0.0862 0.2500 (multiplicity 4)  10 Sn 3.67-3.98, 2 K 3.88, 4 Li 3.97
Li: 0.0000 0.5000 0.0000 (multiplicity 4)  6 Sn 2.87-3.09, 2 Li 3.08
Sn: 0.0000 0.3238 0.7500 (multiplicity 4)  2 Li 2.87, 2 Sn 2.97
Sn: 0.2110 0.3357 0.2500 (multiplicity 8)  2 Sn 2.92-2.97, 2 Li 3.09

Summary:
- total magnetization (μB per atom) = 0.0000
- N(E_F) (states/eV/cell) = 3.5

***

Short version: model ii is the most stable of them.

***

Model i:
KLi3Sn: optimized geometry, PBE-GGA.

a b c (Å): 5.3424 5.3424 5.3424
angles (deg): 90.00 90.00 90.00
Last column: nearest neighbours and their distance in Å.
Space group Pm-3m (No. 221)
Unique sites:
K: 0.0000 0.0000 0.0000 (multiplicity 1)  12 Li 3.78
Li: 0.0000 0.5000 0.5000 (multiplicity 3)  2 Sn 2.67
Sn: 0.5000 0.5000 0.5000 (multiplicity 1)  6 Li 2.67

Summary:
- total magnetization (μB per atom) = 0.0000
- N(E_F) (states/eV/cell) = 0.0

***

Model ii:
KLi3Sn: optimized geometry, PBE-GGA.

a b c (Å): 5.1057 5.1057 5.1057
angles (deg): 90.00 90.00 90.00
Last column: nearest neighbours and their distance in Å.
Space group Pm-3m (No. 221)
Unique sites:
K: 0.0000 0.0000 0.0000 (multiplicity 1)  6 Li 2.55
Li: 0.0000 0.0000 0.5000 (multiplicity 3)  2 K 2.55
Sn: 0.5000 0.5000 0.5000 (multiplicity 1)  12 Li 3.61

Summary:
- total magnetization (μB per atom) = 0.0000
- N(E_F) (states/eV/cell) = 2.9

***

Short version: model i is the most stable of them.

***

Model i:
K2SrLi: optimized geometry, PBE-GGA.

a b c (Å): 4.6224 6.8730 13.5438
angles (deg): 90.00 90.00 90.00
Last column: nearest neighbours and their distance in Å.
Space group Cmmm (No. 65)
Unique sites:
K: 0.0000 0.0000 0.2212 (multiplicity 4)  2 Li 3.78, 4 K 4.14
Sr: 0.0000 0.5000 0.5000 (multiplicity 2)  6 Sr 4.14-4.62, 4 K 4.43
Li: 0.0000 0.5000 0.0000 (multiplicity 2)  4 K 3.78, 4 Li 4.14

Summary:
- total magnetization (μB per atom) = 0.0000
- N(E_F) (states/eV/cell) = 6.1

***

Model ii:
K2SrLi: optimized geometry, PBE-GGA.

a b c (Å): 4.5017 7.0707 13.7299
angles (deg): 90.00 90.00 90.00
Last column: nearest neighbours and their distance in Å.
Space group Imm2 (No. 44)
Unique sites:
K: 0.0000 0.0000 0.0000 (multiplicity 2)  2 Li 3.73
K: 0.0000 0.5000 0.2137 (multiplicity 2)  4 Li 4.19, 6 K 4.50-4.59, 4 Sr 4.56-4.57
Sr: 0.0000 0.0000 0.4245 (multiplicity 2)  2 Li 3.64
Li: 0.0000 0.5000 0.7163 (multiplicity 2)  2 Sr 3.64, 2 K 3.73

Summary:
- total magnetization (μB per atom) = 0.0000
- N(E_F) (states/eV/cell) = 6.1

***

Short version: model ii is the most stable of them.

***

Model i:
KSr2Li2: optimized geometry, PBE-GGA.

a b c (Å): 4.1228 4.1228 26.1549
angles (deg): 90.00 90.00 90.00
Last column: nearest neighbours and their distance in Å.
Space group I4/mmm (No. 139)
Unique sites:
K: 0.0000 0.0000 0.0000 (multiplicity 2)  4 K 4.12, 8 Sr 4.61
Sr: 0.0000 0.0000 0.3634 (multiplicity 4)  4 Li 3.61
Li: 0.0000 0.5000 0.2500 (multiplicity 4)  4 Li 2.92

Summary:
- total magnetization (μB per atom) = 0.0000
- N(E_F) (states/eV/cell) = 7.9

***

Model ii:
KSr2Li2: optimized geometry, PBE-GGA.

a b c (Å): 10.4947 10.4947 4.0544
angles (deg): 90.00 90.00 90.00
Last column: nearest neighbours and their distance in Å.
Space group P4/mbm (No. 127)
Unique sites:
K: 0.0000 0.0000 0.0000 (multiplicity 2)  2 K 4.05, 4 Sr 4.09, 8 Li 4.45
Sr: 0.1348 0.3652 0.0000 (multiplicity 4)  6 Li 3.67-3.70, 3 Sr 4.00-4.05, 2 K 4.09
Li: 0.1564 0.6564 0.5000 (multiplicity 4)  6 Sr 3.67-3.70, 2 Li 4.05

Summary:
- total magnetization (μB per atom) = 0.0000
- N(E_F) (states/eV/cell) = 6.9

***

Model iii:
KSr2Li2: optimized geometry, PBE-GGA.

a b c (Å): 9.7698 9.7698 4.5798
angles (deg): 90.00 90.00 90.00
Last column: nearest neighbours and their distance in Å.
Space group P4/mbm (No. 127)
Unique sites:
K: 0.0000 0.0000 0.0000 (multiplicity 2)  4 Li 3.89, 8 Sr 4.31
Sr: 0.1639 0.3361 0.5000 (multiplicity 4)  6 Li 3.62-3.76
Li: 0.1203 0.6203 0.0000 (multiplicity 4)  1 Li 3.32, 4 Sr 3.62

Summary:
- total magnetization (μB per atom) = 0.0000
- N(E_F) (states/eV/cell) = 9.2

***

Short version: model iii is the most stable of them.

***

Model i:
K2SrLi2: optimized geometry, PBE-GGA.

a b c (Å): 6.1622 6.1622 12.4709
angles (deg): 90.00 90.00 90.00
Last column: nearest neighbours and their distance in Å.
Space group I4/mmm (No. 139)
Unique sites:
K: 0.0000 0.0000 0.1382 (multiplicity 4)  4 Li 3.38, 1 K 3.45
Sr: 0.0000 0.0000 0.5000 (multiplicity 2)  8 Li 4.38, 10 K 4.51-4.69
Li: 0.0000 0.5000 0.2500 (multiplicity 4)  4 K 3.38

Summary:
- total magnetization (μB per atom) = 0.0000
- N(E_F) (states/eV/cell) = 6.3

***

Model ii:
K2SrLi2: optimized geometry, PBE-GGA.

a b c (Å): 10.6714 10.6714 4.0646
angles (deg): 90.00 90.00 90.00
Last column: nearest neighbours and their distance in Å.
Space group P4/mbm (No. 127)
Unique sites:
K: 0.1279 0.3721 0.0000 (multiplicity 4)  6 Li 3.58-3.87, 1 K 3.86
Sr: 0.0000 0.0000 0.0000 (multiplicity 2)  2 Sr 4.06, 4 K 4.20, 8 Li 4.43
Li: 0.1767 0.6767 0.5000 (multiplicity 4)  6 K 3.58-3.87

Summary:
- total magnetization (μB per atom) = 0.0000
- N(E_F) (states/eV/cell) = 7.3

***

Short version: model ii is the most stable of them.